1.
A geometry-optimized Ag2Ru structure, computed with PBE-GGA.

a = 5.836 Å, b = 3.948 Å, c = 8.805 Å
α = 90.00°, β = 90.00°, γ = 90.00°
Space group Pnma (No. 62)
Asymmetric unit:
Ag (0.098, 0.250, 0.093) x4
Ag (0.162, 0.250, 0.759) x4
Ru (0.078, 0.250, 0.443) x4

Theoretical density   10.37 g cm⁻³
Spin magnetization   0.00 Bohr magnetons per cell
Calculated volume   16.91 A^3/atom
Raw total energy   -4.5310 eV/atom

=====

2.
A geometry-optimized LiAc4In3 structure, computed with PBE-GGA.

a = 5.751 Å, b = 5.751 Å, c = 16.642 Å
α = 90.00°, β = 90.00°, γ = 90.00°
Space group I4/mmm (No. 139)
Asymmetric unit:
Li (0.000, 0.000, 0.000) x2
Ac (0.000, 0.500, 0.126) x8
In (0.000, 0.000, 0.247) x4
In (0.000, 0.000, 0.500) x2

Theoretical density   7.60 g cm⁻³
Spin magnetization   0.00 Bohr magnetons per cell
Calculated volume   34.39 A^3/atom
Raw total energy   -3.6427 eV/atom

=====

3.
A geometry-optimized SrSbAs structure, computed with PBE-GGA.

a = 6.163 Å, b = 10.562 Å, c = 6.331 Å
α = 90.00°, β = 116.15°, γ = 90.00°
Space group Cc (No. 9)
Asymmetric unit:
Sr (0.000, 0.130, 0.000) x4
Sb (0.103, 0.390, 0.737) x4
As (0.395, 0.116, 0.764) x4

Theoretical density   5.10 g cm⁻³
Spin magnetization   0.00 Bohr magnetons per cell
Formation energy (no corrections)   -0.683 eV/atom
Calculated volume   30.83 A^3/atom
Raw total energy   -4.1674 eV/atom

=====

4.
A geometry-optimized K3HfAl structure, computed with PBE-GGA.

a = 6.674 Å, b = 6.674 Å, c = 6.674 Å
α = 90.00°, β = 90.00°, γ = 90.00°
Space group Pm-3m (No. 221)
Asymmetric unit:
K (0.000, 0.000, 0.500) x3
Hf (0.000, 0.000, 0.000) x1
Al (0.500, 0.500, 0.500) x1

Theoretical density   1.80 g cm⁻³
Spin magnetization   4.12 Bohr magnetons per cell
Calculated volume   59.44 A^3/atom
Raw total energy   -1.8771 eV/atom